## one
# TbNdGe2 (PBE, relaxed)
# Mass density, Mg/m³: 6.6
data_TbNdGe2
_cell_length_a 3.302
_cell_length_b 5.942
_cell_length_c 11.555
_cell_angle_alpha 90.00
_cell_angle_beta 90.00
_cell_angle_gamma 90.00
_space_group_name_H-M_alt 'A m m 2'
_space_group_IT_number 38
loop_
_space_group_symop_operation_xyz
'x,y,z'
'-x,-y,z'
'-x,y,z'
'x,-y,z'
'x,y+1/2,z+1/2'
'-x,-y+1/2,z+1/2'
'-x,y+1/2,z+1/2'
'x,-y+1/2,z+1/2'
loop_
_atom_site_label
_atom_site_type_symbol
_atom_site_fract_x
_atom_site_fract_y
_atom_site_fract_z
Tb1 Tb 0.000 0.000 0.000
Nd1 Nd 0.000 0.000 0.702
Ge1 Ge 0.000 0.000 0.242
Ge2 Ge 0.000 0.000 0.454

=====

## two
# TbNdGe2 (PBE, relaxed)
# Mass density, Mg/m³: 7.5
data_TbNdGe2
_cell_length_a 4.375
_cell_length_b 20.160
_cell_length_c 4.513
_cell_angle_alpha 90.00
_cell_angle_beta 90.00
_cell_angle_gamma 90.00
_space_group_name_H-M_alt 'C m c m'
_space_group_IT_number 63
_space_group_name_Hall '-C 2c 2'
loop_
_atom_site_label
_atom_site_type_symbol
_atom_site_fract_x
_atom_site_fract_y
_atom_site_fract_z
Tb1 Tb 0.000 0.248 0.250
Nd1 Nd 0.000 0.410 0.750
Ge1 Ge 0.000 0.028 0.750
Ge2 Ge 0.000 0.151 0.750

=====

Relative energies, unit kJ/mol of atoms: one 61.1; two 0.0

=====

## one
# NdYGe (PBE, relaxed)
# Mass density, Mg/m³: 6.2
data_NdYGe
_cell_length_a 4.480
_cell_length_b 4.480
_cell_length_c 16.396
_cell_angle_alpha 90.00
_cell_angle_beta 90.00
_cell_angle_gamma 90.00
_space_group_name_H-M_alt 'I 4/m m m'
_space_group_IT_number 139
_space_group_name_Hall '-I 4 2'
loop_
_atom_site_label
_atom_site_type_symbol
_atom_site_fract_x
_atom_site_fract_y
_atom_site_fract_z
Nd1 Nd 0.000 0.000 0.180
Y1 Y 0.000 0.500 0.000
Ge1 Ge 0.000 0.000 0.370

=====

## two
# NdYGe (PBE, relaxed)
# Mass density, Mg/m³: 5.7
data_NdYGe
_cell_length_a 7.102
_cell_length_b 7.102
_cell_length_c 7.102
_cell_angle_alpha 90.00
_cell_angle_beta 90.00
_cell_angle_gamma 90.00
_space_group_name_H-M_alt 'F -4 3 m'
_space_group_IT_number 216
_space_group_name_Hall 'F -4 2 3'
loop_
_atom_site_label
_atom_site_type_symbol
_atom_site_fract_x
_atom_site_fract_y
_atom_site_fract_z
Nd1 Nd 0.000 0.000 0.000
Y1 Y 0.250 0.250 0.750
Ge1 Ge 0.000 0.000 0.500

=====

Relative energies, unit kJ/mol of atoms: one 0.0; two 91.6